[1]
First-principles (PBE) data for a geometry-optimized Y2ScInS structure, as listed in Alexandria.

a b c (Å): 5.1750 5.1750 4.8343
angles (deg): 90.00 90.00 90.00
Fractional positions:
Y (0.0000, 0.5000, 0.0000)
Y (0.5000, 0.0000, 0.0000)
Sc (0.0000, 0.0000, 0.5000)
S (0.0000, 0.0000, 0.0000)
In (0.5000, 0.5000, 0.5000)

Calculated values
Formation energy without anion corrections, eV/atom: -0.907
E_tot, eV/atom: -6.132
Symmetry: No. 123

=====

[2]
First-principles (PBE) data for a geometry-optimized SrSbAs3 structure, as listed in Alexandria.

a b c (Å): 5.5428 5.5428 5.5428
angles (deg): 90.00 90.00 90.00
Fractional positions:
Sb (0.5000, 0.5000, 0.5000)
As (0.0000, 0.5000, 0.0000)
As (0.0000, 0.0000, 0.5000)
As (0.5000, 0.0000, 0.0000)
Sr (0.0000, 0.0000, 0.0000)

Calculated values
Formation energy without anion corrections, eV/atom: 1.044
E_tot, eV/atom: -2.906
Energy above the lowest structure with this stoichiometry, meV per atom: 902.0
Symmetry: No. 221

=====

[3]
First-principles (PBE) data for a geometry-optimized InSnAu structure, as listed in Alexandria.

a b c (Å): 3.6325 6.7995 7.2983
angles (deg): 87.60 60.12 89.97
Fractional positions:
Au (0.7862, 0.1840, 0.9210)
Au (0.7867, 0.6838, 0.4209)
Sn (0.6011, 0.8111, 0.1064)
Sn (0.9720, 0.5569, 0.7355)
In (0.5889, 0.0491, 0.6190)
In (0.9828, 0.3180, 0.2235)

Calculated values
E_tot, eV/atom: -3.481
Symmetry: No. 10
Calculated formation energy, meV per atom: -141